The following is a GGA-PBE calculation of a relaxed In2SbHF crystal, from Alexandria.

Output
E: -3.191 eV per atom

```
data_In2SbHF
_chemical_formula_sum 'In2 Sb1 H1 F1'
_cell_length_a 6.115
_cell_length_b 6.115
_cell_length_c 2.937
_cell_angle_alpha 90.00
_cell_angle_beta 90.00
_cell_angle_gamma 90.00
_space_group_name_H-M_alt 'P 4/m m m'
_space_group_IT_number 123
_space_group_name_Hall '-P 4 2'
loop_
_atom_site_label
_atom_site_fract_x
_atom_site_fract_y
_atom_site_fract_z
In1 0.000 0.500 0.000
Sb1 0.000 0.000 0.500
H1 0.500 0.500 0.500
F1 0.500 0.500 0.000
```